First-principles (PBE) data for KSn2Pb after structural relaxation, as listed in the Alexandria database.

Output
For the density of states at the Fermi level, the calculation gives 2.9 states/eV/f.u. Its space group is Cmcm, No. 63. The calculation puts the energy of formation at -0.112 eV per atom.

a b c (Å): 5.8140 6.8164 7.5104
angles (deg): 90.00 90.00 115.24
With the nearest neighbours (Å) after each atom.
Element x y z (fractional)
K (0.9075, 0.8150, 0.2500)  5 Pb 3.58-3.97, 6 Sn 3.70-3.89
K (0.0925, 0.1850, 0.7500)  5 Pb 3.58-3.97, 6 Sn 3.70-3.89
Sn (0.3840, 0.7680, 0.9481)  2 Sn 2.96-2.98, 1 Pb 3.22
Sn (0.6160, 0.2320, 0.0519)  2 Sn 2.96-2.98, 1 Pb 3.22
Sn (0.6160, 0.2320, 0.4481)  2 Sn 2.96-2.98, 1 Pb 3.22
Sn (0.3840, 0.7680, 0.5519)  2 Sn 2.96-2.98, 1 Pb 3.22
Pb (0.1981, 0.3962, 0.2500)  6 Sn 3.22-3.42, 1 K 3.58
Pb (0.8019, 0.6038, 0.7500)  6 Sn 3.22-3.42, 1 K 3.58

---

First-principles (PBE) data for KSnPb2 after structural relaxation, as listed in the Alexandria database.

Output
For the density of states at the Fermi level, the calculation gives 3.1 states/eV/f.u. Its space group is I-42d, No. 122. The calculation puts the energy of formation at -0.028 eV per atom.

a b c (Å): 9.1267 9.1267 7.3109
angles (deg): 51.38 51.38 90.00
With the nearest neighbours (Å) after each atom.
Element x y z (fractional)
Pb (0.6766, 0.1250, 0.2500)  2 Sn 3.04
Pb (0.0734, 0.6250, 0.2500)  2 Sn 3.04
Pb (0.3750, 0.3234, 0.7500)  2 Sn 3.04
Pb (0.8750, 0.9266, 0.7500)  2 Sn 3.04
K (0.5000, 0.5000, 0.0000)  2 Sn 3.44, 4 Pb 3.68
K (0.2500, 0.7500, 0.5000)  2 Sn 3.44, 4 Pb 3.68
Sn (0.0000, 0.0000, 0.0000)  4 Pb 3.04
Sn (0.7500, 0.2500, 0.5000)  4 Pb 3.04

---

First-principles (PBE) data for KSn2Pb after structural relaxation, as listed in the Alexandria database.

Output
For the density of states at the Fermi level, the calculation gives 2.9 states/eV/f.u. Its space group is I-42d, No. 122. The calculation puts the energy of formation at 0.036 eV per atom.

a b c (Å): 9.0679 9.0679 7.2447
angles (deg): 51.26 51.26 90.00
With the nearest neighbours (Å) after each atom.
Element x y z (fractional)
Pb (0.0000, 0.0000, 0.0000)  4 Sn 3.04, 2 K 3.37
Pb (0.7500, 0.2500, 0.5000)  4 Sn 3.04, 2 K 3.37
K (0.5000, 0.5000, 0.0000)  2 Pb 3.37, 4 Sn 3.62
K (0.2500, 0.7500, 0.5000)  2 Pb 3.37, 4 Sn 3.62
Sn (0.6724, 0.1250, 0.2500)  2 Pb 3.04
Sn (0.0776, 0.6250, 0.2500)  2 Pb 3.04
Sn (0.3750, 0.3276, 0.7500)  2 Pb 3.04
Sn (0.8750, 0.9224, 0.7500)  2 Pb 3.04

---

First-principles (PBE) data for KSnPb2 after structural relaxation, as listed in the Alexandria database.

Output
For the density of states at the Fermi level, the calculation gives 2.6 states/eV/f.u. Its space group is R-3m, No. 166. The calculation puts the energy of formation at -0.026 eV per atom.

a b c (Å): 5.2811 5.2811 6.7549
angles (deg): 66.99 66.99 60.00
With the nearest neighbours (Å) after each atom.
Element x y z (fractional)
Pb (0.2815, 0.2815, 0.1554)  3 Sn 3.19
Pb (0.7185, 0.7185, 0.8446)  3 Sn 3.19
K (0.5000, 0.5000, 0.5000)  8 Pb 3.69-3.95
Sn (0.0000, 0.0000, 0.0000)  6 Pb 3.19

---

First-principles (PBE) data for KSnPb3 after structural relaxation, as listed in the Alexandria database.

Output
The calculation puts the energy relative to the lowest polymorph listed for this composition at 19 meV per atom. For the density of states at the Fermi level, the calculation gives 2.0 states/eV/f.u. Its space group is C2/c, No. 15. The calculation puts the energy of formation at -0.060 eV per atom.

a b c (Å): 7.2631 11.3754 10.5628
angles (deg): 122.58 100.55 90.00
With the nearest neighbours (Å) after each atom.
Element x y z (fractional)
K (0.7500, 0.0344, 0.0000)  2 Sn 3.71, 2 K 3.71, 4 Pb 4.00-4.06
K (0.2500, 0.9656, 0.0000)  2 Sn 3.71, 2 K 3.71, 4 Pb 4.00-4.06
K (0.7500, 0.6437, 0.0000)  6 Sn 3.80-3.93, 8 Pb 4.05-4.26
K (0.2500, 0.3563, 0.0000)  6 Sn 3.80-3.93, 8 Pb 4.05-4.26
Sn (0.2923, 0.7485, 0.1661)  1 Sn 2.89, 3 Pb 3.14-3.19
Sn (0.2077, 0.5824, 0.8339)  1 Sn 2.89, 3 Pb 3.14-3.19
Sn (0.7077, 0.2515, 0.8339)  1 Sn 2.89, 3 Pb 3.14-3.19
Sn (0.7923, 0.4176, 0.1661)  1 Sn 2.89, 3 Pb 3.14-3.19
Pb (0.4040, 0.9864, 0.6302)  1 Sn 3.14, 5 Pb 3.45-3.51
Pb (0.0960, 0.3562, 0.3698)  1 Sn 3.14, 5 Pb 3.45-3.51
Pb (0.5960, 0.0136, 0.3698)  1 Sn 3.14, 5 Pb 3.45-3.51
Pb (0.9040, 0.6438, 0.6302)  1 Sn 3.14, 5 Pb 3.45-3.51
Pb (0.0799, 0.0186, 0.3710)  1 Sn 3.25, 5 Pb 3.37-3.51
Pb (0.4201, 0.6477, 0.6290)  1 Sn 3.25, 5 Pb 3.37-3.51
Pb (0.9201, 0.9814, 0.6290)  1 Sn 3.25, 5 Pb 3.37-3.51
Pb (0.5799, 0.3523, 0.3710)  1 Sn 3.25, 5 Pb 3.37-3.51
Pb (0.5947, 0.6882, 0.3712)  2 Sn 3.14-3.19, 4 Pb 3.44-3.51
Pb (0.9053, 0.3171, 0.6288)  2 Sn 3.14-3.19, 4 Pb 3.44-3.51
Pb (0.4053, 0.3118, 0.6288)  2 Sn 3.14-3.19, 4 Pb 3.44-3.51
Pb (0.0947, 0.6829, 0.3712)  2 Sn 3.14-3.19, 4 Pb 3.44-3.51

---

First-principles (PBE) data for KSnPb2 after structural relaxation, as listed in the Alexandria database.

Output
For the density of states at the Fermi level, the calculation gives 2.0 states/eV/f.u. Its space group is P4/mmm, No. 123. The calculation puts the energy of formation at -0.048 eV per atom.

a b c (Å): 4.9350 5.0451 5.0451
angles (deg): 90.00 90.00 90.00
With the nearest neighbours (Å) after each atom.
Element x y z (fractional)
Pb (0.0000, 0.0000, 0.5000)  4 Sn 3.53, 4 K 3.53, 4 Pb 3.57
Pb (0.0000, 0.5000, 0.0000)  4 K 3.53, 4 Sn 3.53, 4 Pb 3.57
K (0.5000, 0.0000, 0.0000)  8 Pb 3.53, 4 Sn 3.57
Sn (0.5000, 0.5000, 0.5000)  8 Pb 3.53, 4 K 3.57

---

First-principles (PBE) data for K3Sn3Pb8 after structural relaxation, as listed in the Alexandria database.

Output
For the density of states at the Fermi level, the calculation gives 6.0 states/eV/f.u. Its space group is Immm, No. 71. The calculation puts the energy of formation at -0.095 eV per atom.

a b c (Å): 5.3920 9.7895 9.7895
angles (deg): 78.56 74.01 74.01
With the nearest neighbours (Å) after each atom.
Element x y z (fractional)
K (0.5000, 0.5000, 0.5000)  12 Pb 3.68-4.10, 2 K 4.03
K (0.7849, 0.2151, 0.2151)  2 Sn 3.61, 10 Pb 3.88-4.03, 1 K 4.03
K (0.2151, 0.7849, 0.7849)  2 Sn 3.61, 10 Pb 3.88-4.03, 1 K 4.03
Sn (0.5000, 0.0000, 0.0000)  4 Sn 3.32, 4 Pb 3.39
Sn (0.0000, 0.8439, 0.1561)  6 Pb 3.14-3.49, 2 Sn 3.32
Sn (0.0000, 0.1561, 0.8439)  6 Pb 3.14-3.49, 2 Sn 3.32
Pb (0.6473, 0.0683, 0.6371)  3 Pb 3.26-3.31, 3 Sn 3.39-3.49
Pb (0.3527, 0.9317, 0.3629)  3 Pb 3.26-3.31, 3 Sn 3.39-3.49
Pb (0.6473, 0.6371, 0.0683)  3 Pb 3.26-3.31, 3 Sn 3.39-3.49
Pb (0.3527, 0.3629, 0.9317)  3 Pb 3.26-3.31, 3 Sn 3.39-3.49
Pb (0.8712, 0.7664, 0.4913)  1 Sn 3.14, 4 Pb 3.26-3.41
Pb (0.1288, 0.2336, 0.5087)  1 Sn 3.14, 4 Pb 3.26-3.41
Pb (0.8712, 0.4913, 0.7664)  1 Sn 3.14, 4 Pb 3.26-3.41
Pb (0.1288, 0.5087, 0.2336)  1 Sn 3.14, 4 Pb 3.26-3.41

---

First-principles (PBE) data for K2Sn2Pb3 after structural relaxation, as listed in the Alexandria database.

Output
For the density of states at the Fermi level, the calculation gives 3.1 states/eV/f.u. Its space group is C2/m, No. 12. The calculation puts the energy of formation at -0.130 eV per atom.

a b c (Å): 4.7570 6.9136 8.5477
angles (deg): 110.81 90.00 110.12
With the nearest neighbours (Å) after each atom.
Element x y z (fractional)
K (0.8577, 0.7154, 0.2097)  4 Sn 3.62-3.78, 6 Pb 3.72-3.94
K (0.1423, 0.2846, 0.7903)  4 Sn 3.62-3.78, 6 Pb 3.72-3.94
Sn (0.8446, 0.6892, 0.7612)  5 Pb 3.11-3.28
Sn (0.1554, 0.3108, 0.2388)  5 Pb 3.11-3.28
Pb (0.5000, 0.0000, 0.0000)  4 Sn 3.28, 2 Pb 3.49
Pb (0.6117, 0.2234, 0.4406)  3 Sn 3.11-3.22, 2 Pb 3.42-3.49
Pb (0.3883, 0.7766, 0.5594)  3 Sn 3.11-3.22, 2 Pb 3.42-3.49

---

First-principles (PBE) data for KSn4Pb8 after structural relaxation, as listed in the Alexandria database.

Output
The calculation puts the energy relative to the lowest polymorph listed for this composition at 0 meV per atom. For the density of states at the Fermi level, the calculation gives 5.4 states/eV/f.u. Its space group is I4/mmm, No. 139. The calculation puts the energy of formation at -0.027 eV per atom.

a b c (Å): 6.3910 8.7405 8.7394
angles (deg): 82.32 68.55 68.56
With the nearest neighbours (Å) after each atom.
Element x y z (fractional)
K (0.0000, 0.0000, 0.0000)  12 Pb 4.05, 8 Sn 4.37
Sn (0.0000, 0.0000, 0.5000)  2 Sn 3.20, 8 Pb 3.31-3.49
Sn (0.5000, 0.0000, 0.5000)  2 Sn 3.20, 8 Pb 3.31-3.49
Sn (0.0000, 0.5000, 0.0000)  2 Sn 3.20, 8 Pb 3.31-3.49
Sn (0.5000, 0.5000, 0.0000)  2 Sn 3.20, 8 Pb 3.31-3.49
Pb (0.0000, 0.3521, 0.6479)  5 Pb 3.40-3.68, 4 Sn 3.49
Pb (0.0000, 0.6479, 0.3521)  5 Pb 3.40-3.68, 4 Sn 3.49
Pb (0.3521, 0.6479, 0.6479)  5 Pb 3.40-3.68, 4 Sn 3.49
Pb (0.6479, 0.3521, 0.3521)  5 Pb 3.40-3.68, 4 Sn 3.49
Pb (0.5000, 0.7832, 0.2168)  4 Sn 3.31, 6 Pb 3.53-3.68
Pb (0.5000, 0.2168, 0.7832)  4 Sn 3.31, 6 Pb 3.53-3.68
Pb (0.2832, 0.2168, 0.2168)  4 Sn 3.31, 6 Pb 3.53-3.68
Pb (0.7168, 0.7832, 0.7832)  4 Sn 3.31, 6 Pb 3.53-3.68

---

First-principles (PBE) data for K2Sn2Pb after structural relaxation, as listed in the Alexandria database.

Output
The calculation puts the energy relative to the lowest polymorph listed for this composition at 0 meV per atom. For the density of states at the Fermi level, the calculation gives 1.9 states/eV/f.u. Its space group is C2/c, No. 15. The calculation puts the energy of formation at -0.157 eV per atom.

a b c (Å): 6.9816 6.7835 9.7122
angles (deg): 103.14 90.00 120.97
With the nearest neighbours (Å) after each atom.
Element x y z (fractional)
K (0.5092, 0.2876, 0.1460)  6 Sn 3.61-3.82, 2 Pb 3.92-4.00
K (0.2217, 0.7124, 0.3540)  6 Sn 3.61-3.82, 2 Pb 3.92-4.00
K (0.4908, 0.7124, 0.8540)  6 Sn 3.61-3.82, 2 Pb 3.92-4.00
K (0.7783, 0.2876, 0.6460)  6 Sn 3.61-3.82, 2 Pb 3.92-4.00
Sn (0.7144, 0.7056, 0.4951)  1 Sn 2.88, 1 Pb 3.10
Sn (0.0088, 0.2944, 0.0049)  1 Sn 2.88, 1 Pb 3.10
Sn (0.2856, 0.2944, 0.5049)  1 Sn 2.88, 1 Pb 3.10
Sn (0.9912, 0.7056, 0.9951)  1 Sn 2.88, 1 Pb 3.10
Pb (0.8981, 0.0000, 0.2500)  4 Sn 3.10-3.29
Pb (0.1019, 0.0000, 0.7500)  4 Sn 3.10-3.29

---

First-principles (PBE) data for K2Sn2Pb after structural relaxation, as listed in the Alexandria database.

Output
The calculation puts the energy relative to the lowest polymorph listed for this composition at 189 meV per atom. For the density of states at the Fermi level, the calculation gives 0.5 states/eV/f.u. Its space group is I4/mmm, No. 139. The calculation puts the energy of formation at 0.033 eV per atom.

a b c (Å): 4.9842 4.9842 8.3263
angles (deg): 72.58 72.58 90.00
With the nearest neighbours (Å) after each atom.
Element x y z (fractional)
Pb (0.0000, 0.0000, 0.0000)  8 Sn 3.77
K (0.7500, 0.2500, 0.5000)  4 Sn 3.49, 4 K 3.52
K (0.2500, 0.7500, 0.5000)  4 Sn 3.49, 4 K 3.52
Sn (0.4121, 0.4121, 0.1758)  1 Sn 2.65
Sn (0.5879, 0.5879, 0.8242)  1 Sn 2.65